[1]
The following is a DFT calculation (GGA-PBE) of a geometry-optimized HfMgPb2 structure.

Computed properties:
Energy   -4.35 eV per atom
Space group   No. 216
Total moment   0.0019 μB/atom

a b c (Å): 5.2922 5.2922 5.2922
angles (deg): 60.00 60.00 60.00
With the nearest neighbours (Å) after each atom.
Fractional coordinates of all 4 atoms:
Hf: 0.0000 0.0000 0.0000  4 Pb 3.24, 4 Mg 3.24
Mg: 0.7500 0.7500 0.7500  4 Hf 3.24, 4 Pb 3.24
Pb: 0.2500 0.2500 0.2500  4 Hf 3.24, 4 Pb 3.24
Pb: 0.5000 0.5000 0.5000  4 Pb 3.24, 4 Mg 3.24



[2]
The following is a DFT calculation (GGA-PBE) of a geometry-optimized HfMgPb structure.

Computed properties:
Energy   -4.61 eV per atom
Space group   No. 216
Total moment   0.0003 μB/atom

a b c (Å): 4.9046 4.9046 4.9046
angles (deg): 60.00 60.00 60.00
With the nearest neighbours (Å) after each atom.
Fractional coordinates of all 3 atoms:
Hf: 0.0000 0.0000 0.0000  4 Pb 3.00, 4 Mg 3.00
Mg: 0.7500 0.7500 0.7500  4 Hf 3.00
Pb: 0.2500 0.2500 0.2500  4 Hf 3.00



[3]
The following is a DFT calculation (GGA-PBE) of a geometry-optimized HfMgPd2 structure.

Computed properties:
Energy   -6.15 eV per atom
Space group   No. 123
Total moment   0.0001 μB/atom

a b c (Å): 4.7583 4.7583 3.0434
angles (deg): 90.00 90.00 90.00
With the nearest neighbours (Å) after each atom.
Fractional coordinates of all 4 atoms:
Hf: 0.0000 0.0000 0.0000  8 Pd 2.82, 2 Hf 3.04
Mg: 0.5000 0.5000 0.0000  8 Pd 2.82, 2 Mg 3.04
Pd: 0.0000 0.5000 0.5000  4 Mg 2.82, 4 Hf 2.82, 2 Pd 3.04
Pd: 0.5000 0.0000 0.5000  4 Mg 2.82, 4 Hf 2.82, 2 Pd 3.04



[4]
The following is a DFT calculation (GGA-PBE) of a geometry-optimized HfMgPd2 structure.

Computed properties:
Energy   -6.19 eV per atom
Space group   No. 123
Total moment   0.0013 μB/atom

a b c (Å): 3.2978 3.2978 6.4614
angles (deg): 90.00 90.00 90.00
With the nearest neighbours (Å) after each atom.
Fractional coordinates of all 4 atoms:
Hf: 0.0000 0.0000 0.0000  8 Pd 2.80
Mg: 0.0000 0.0000 0.5000  8 Pd 2.87
Pd: 0.5000 0.5000 0.2411  4 Hf 2.80, 4 Mg 2.87, 1 Pd 3.12
Pd: 0.5000 0.5000 0.7589  4 Hf 2.80, 4 Mg 2.87, 1 Pd 3.12



[5]
The following is a DFT calculation (GGA-PBE) of a geometry-optimized HfMgPd2 structure.

Computed properties:
Energy   -5.80 eV per atom
Space group   No. 216
Total moment   0.0244 μB/atom

a b c (Å): 4.5920 4.5920 4.5920
angles (deg): 60.00 60.00 60.00
With the nearest neighbours (Å) after each atom.
Fractional coordinates of all 4 atoms:
Hf: 0.0000 0.0000 0.0000  4 Mg 2.81, 4 Pd 2.81
Mg: 0.7500 0.7500 0.7500  4 Pd 2.81, 4 Hf 2.81
Pd: 0.2500 0.2500 0.2500  4 Pd 2.81, 4 Hf 2.81
Pd: 0.5000 0.5000 0.5000  4 Mg 2.81, 4 Pd 2.81



[6]
The following is a DFT calculation (GGA-PBE) of a geometry-optimized HfMgPd2 structure.

Computed properties:
Energy   -6.12 eV per atom
Space group   No. 194
Total moment   0.0009 μB/atom

a b c (Å): 4.3918 4.3918 8.5162
angles (deg): 90.00 90.00 120.00
With the nearest neighbours (Å) after each atom.
Fractional coordinates of all 8 atoms:
Hf: 0.3333 0.6667 0.2500  8 Pd 2.88-2.89
Hf: 0.6667 0.3333 0.7500  8 Pd 2.88-2.89
Mg: 0.0000 0.0000 0.0000  6 Pd 2.65
Mg: 0.0000 0.0000 0.5000  6 Pd 2.65
Pd: 0.3333 0.6667 0.5895  3 Mg 2.65, 4 Pd 2.73-2.96, 4 Hf 2.88-2.89
Pd: 0.3333 0.6667 0.9105  3 Mg 2.65, 4 Pd 2.73-2.96, 4 Hf 2.88-2.89
Pd: 0.6667 0.3333 0.0895  3 Mg 2.65, 4 Pd 2.73-2.96, 4 Hf 2.88-2.89
Pd: 0.6667 0.3333 0.4105  3 Mg 2.65, 4 Pd 2.73-2.96, 4 Hf 2.88-2.89



[7]
The following is a DFT calculation (GGA-PBE) of a geometry-optimized HfMgPd2 structure.

Computed properties:
Energy   -5.58 eV per atom
Space group   No. 194
Total moment   0.0261 μB/atom

a b c (Å): 4.6438 4.6438 7.6247
angles (deg): 90.00 90.00 120.00
With the nearest neighbours (Å) after each atom.
Fractional coordinates of all 8 atoms:
Hf: 0.0000 0.0000 0.2500  3 Mg 2.68, 6 Pd 2.97
Hf: 0.0000 0.0000 0.7500  3 Mg 2.68, 6 Pd 2.97
Mg: 0.3333 0.6667 0.2500  2 Pd 2.52, 3 Hf 2.68
Mg: 0.6667 0.3333 0.7500  2 Pd 2.52, 3 Hf 2.68
Pd: 0.3333 0.6667 0.5810  1 Mg 2.52, 1 Pd 2.58
Pd: 0.3333 0.6667 0.9190  1 Mg 2.52, 1 Pd 2.58
Pd: 0.6667 0.3333 0.0810  1 Mg 2.52, 1 Pd 2.58
Pd: 0.6667 0.3333 0.4190  1 Mg 2.52, 1 Pd 2.58



[8]
The following is a DFT calculation (GGA-PBE) of a geometry-optimized HfMgPd structure.

Computed properties:
Energy   -5.22 eV per atom
Space group   No. 216
Total moment   0.0007 μB/atom

a b c (Å): 4.5450 4.5450 4.5450
angles (deg): 60.00 60.00 60.00
With the nearest neighbours (Å) after each atom.
Fractional coordinates of all 3 atoms:
Hf: 0.0000 0.0000 0.0000  4 Mg 2.78, 4 Pd 2.78
Mg: 0.7500 0.7500 0.7500  4 Hf 2.78
Pd: 0.2500 0.2500 0.2500  4 Hf 2.78